Entry 1:
TaMo2Cl | GGA-PBEsol | relaxed

a b c (Å): 4.4666 4.4666 4.4666
angles (deg): 60.00 60.00 60.00
Fractional positions:
Mo (0.0000, 0.0000, 0.0000)
Mo (0.7500, 0.7500, 0.7500)
Cl (0.5000, 0.5000, 0.5000)
Ta (0.2500, 0.2500, 0.2500)

Summary:
Formation energy without anion corrections ... 0.8323 eV per atom
Magnetic moment ... 0.00 μB per atom
Calculated density ... 10.759 g/cm³
Energy relative to the lowest polymorph listed for this composition ... 1.62 eV/f.u.
Space group ... F-43m

***

Entry 2:
ScCIO2 | GGA-PBEsol | relaxed

a b c (Å): 3.9681 3.9681 4.1939
angles (deg): 90.00 90.00 90.00
Fractional positions:
I (0.0000, 0.0000, 0.5000)
Sc (0.5000, 0.5000, 0.5000)
C (0.0000, 0.0000, 0.0000)
O (0.0000, 0.5000, 0.0000)
O (0.5000, 0.0000, 0.0000)

Summary:
Formation energy without anion corrections ... 0.3579 eV per atom
Magnetic moment ... 0.00 μB per atom
Calculated density ... 5.428 g/cm³
Space group ... P4/mmm

***

Entry 3:
CuBO2 | GGA-PBEsol | relaxed

a b c (Å): 3.3057 3.3057 5.1019
angles (deg): 71.10 71.10 60.00
Fractional positions:
B (0.0000, 0.0000, 0.0000)
O (0.9099, 0.9099, 0.2704)
O (0.0901, 0.0901, 0.7296)
Cu (0.5000, 0.5000, 0.5000)

Summary:
Formation energy without anion corrections ... -1.0978 eV per atom
Magnetic moment ... 0.00 μB per atom
Calculated density ... 3.944 g/cm³
Space group ... R-3m